# 1
LuReAg, relaxed, DFT PBE; energy relative to the lowest polymorph listed for this composition = 0.00 eV/f.u.; formation enthalpy at 0 K = 0.9515 eV/atom; spin magnetization = 1.6 μB per formula unit; space group = F-43m (216)
1.0
0.0000 3.2106 3.2106
3.2106 0.0000 3.2106
3.2106 3.2106 0.0000
Lu Re Ag
1 1 1
direct
0.0000 0.0000 0.0000 Lu
0.5000 0.5000 0.5000 Re
0.2500 0.2500 0.2500 Ag

=====

# 2
LuReAg, relaxed, DFT PBE; energy relative to the lowest polymorph listed for this composition = 1.04 eV/f.u.; formation enthalpy at 0 K = 1.2975 eV/atom; spin magnetization = 2.1 μB per formula unit; space group = F-43m (216)
1.0
0.0000 3.2685 3.2685
3.2685 0.0000 3.2685
3.2685 3.2685 0.0000
Lu Re Ag
1 1 1
direct
0.0000 0.0000 0.0000 Lu
0.2500 0.2500 0.2500 Re
0.7500 0.7500 0.7500 Ag

=====

# 3
Lu2ReAg, relaxed, DFT PBE; formation enthalpy at 0 K = 0.3572 eV/atom; spin magnetization = 0.0 μB per formula unit; space group = F-43m (216)
1.0
0.0000 3.4121 3.4121
3.4121 0.0000 3.4121
3.4121 3.4121 0.0000
Lu Re Ag
2 1 1
direct
0.0000 0.0000 0.0000 Lu
0.2500 0.2500 0.2500 Lu
0.5000 0.5000 0.5000 Re
0.7500 0.7500 0.7500 Ag

=====

# 4
LuAgS2, relaxed, DFT PBE; spin magnetization = 0.0 μB per formula unit; energy = -0.1919 Ha/atom; space group = Pnma (62)
1.0
13.2310 0.0000 0.0000
0.0000 3.9873 0.0000
0.0000 0.0000 6.6193
Lu Ag S
4 4 8
direct
0.1369 0.2500 0.0093 Lu
0.3631 0.7500 0.5093 Lu
0.6369 0.2500 0.4907 Lu
0.8631 0.7500 0.9907 Lu
0.0770 0.7500 0.5792 Ag
0.4230 0.2500 0.0792 Ag
0.5770 0.7500 0.9208 Ag
0.9230 0.2500 0.4208 Ag
0.0370 0.7500 0.2086 S
0.2255 0.7500 0.8094 S
0.2745 0.2500 0.3094 S
0.4630 0.2500 0.7086 S
0.5370 0.7500 0.2914 S
0.7255 0.7500 0.6906 S
0.7745 0.2500 0.1906 S
0.9630 0.2500 0.7914 S

=====

# 5
LuAgSnSeS2, relaxed, DFT PBE; spin magnetization = 0.0 μB per formula unit; energy = -0.1744 Ha/atom; space group = Cmcm (63)
1.0
1.9779 -6.6320 0.0000
1.9779 6.6320 0.0000
0.0000 0.0000 10.5808
Lu Ag Sn Se S
2 2 2 2 4
direct
0.0000 0.0000 0.0000 Lu
0.0000 0.0000 0.5000 Lu
0.4466 0.5534 0.7500 Ag
0.5534 0.4466 0.2500 Ag
0.2503 0.7497 0.2500 Sn
0.7497 0.2503 0.7500 Sn
0.0915 0.9085 0.7500 Se
0.9085 0.0915 0.2500 Se
0.3643 0.6357 0.5429 S
0.3643 0.6357 0.9571 S
0.6357 0.3643 0.0429 S
0.6357 0.3643 0.4571 S

=====

# 6
SrLuAgSeS2, relaxed, DFT PBE; spin magnetization = 0.0 μB per formula unit; energy = -0.1831 Ha/atom; space group = Cmcm (63)
1.0
2.0081 -6.7833 0.0000
2.0081 6.7833 0.0000
0.0000 0.0000 10.4933
Sr Lu Ag Se S
2 2 2 2 4
direct
0.2358 0.7642 0.7500 Sr
0.7642 0.2358 0.2500 Sr
0.0000 0.0000 0.0000 Lu
0.0000 0.0000 0.5000 Lu
0.4701 0.5299 0.2500 Ag
0.5299 0.4701 0.7500 Ag
0.0942 0.9058 0.2500 Se
0.9058 0.0942 0.7500 Se
0.3678 0.6322 0.0538 S
0.3678 0.6322 0.4462 S
0.6322 0.3678 0.5538 S
0.6322 0.3678 0.9462 S

=====

# 7
SrLuAgSe2S, relaxed, DFT PBE; spin magnetization = 0.0 μB per formula unit; energy = -0.1791 Ha/atom; space group = Cmcm (63)
1.0
2.0636 -6.8340 0.0000
2.0636 6.8340 0.0000
0.0000 0.0000 10.3361
Sr Lu Ag Se S
2 2 2 4 2
direct
0.2420 0.7580 0.7500 Sr
0.7580 0.2420 0.2500 Sr
0.5000 0.5000 0.0000 Lu
0.5000 0.5000 0.5000 Lu
0.0287 0.9713 0.2500 Ag
0.9713 0.0287 0.7500 Ag
0.1422 0.8578 0.0479 Se
0.1422 0.8578 0.4521 Se
0.8578 0.1422 0.5479 Se
0.8578 0.1422 0.9521 Se
0.4194 0.5806 0.2500 S
0.5806 0.4194 0.7500 S

=====

# 8
SrLuAgS3, relaxed, DFT PBE; spin magnetization = 0.0 μB per formula unit; energy = -0.1901 Ha/atom; space group = C2/m (12)
1.0
8.5715 -1.9642 0.0000
8.5715 1.9642 0.0000
-1.9243 0.0000 8.1325
Sr Lu Ag S
2 2 2 6
direct
0.1340 0.1340 0.0713 Sr
0.8660 0.8660 0.9287 Sr
0.1649 0.1649 0.5851 Lu
0.8351 0.8351 0.4149 Lu
0.4793 0.4793 0.2879 Ag
0.5207 0.5207 0.7121 Ag
0.0000 0.0000 0.5000 S
0.3188 0.3188 0.1865 S
0.3267 0.3267 0.6342 S
0.5000 0.5000 0.0000 S
0.6733 0.6733 0.3658 S
0.6812 0.6812 0.8135 S

=====

# 9
SrLuAgS3, relaxed, DFT PBE; spin magnetization = 0.0 μB per formula unit; energy = -0.1895 Ha/atom; space group = P2_1/m (11)
1.0
7.5849 0.0000 0.0000
0.0000 3.9775 0.0000
-2.7080 0.0000 9.1385
Sr Lu Ag S
2 2 2 6
direct
0.2442 0.2500 0.2107 Sr
0.7558 0.7500 0.7893 Sr
0.1909 0.7500 0.6529 Lu
0.8091 0.2500 0.3471 Lu
0.3990 0.2500 0.9064 Ag
0.6010 0.7500 0.0936 Ag
0.0612 0.7500 0.3626 S
0.2078 0.7500 0.9517 S
0.4325 0.2500 0.6527 S
0.5675 0.7500 0.3473 S
0.7922 0.2500 0.0483 S
0.9388 0.2500 0.6374 S

=====

# 10
LuAg2Sb, relaxed, DFT PBE; spin magnetization = 0.0 μB per formula unit; energy = -0.1411 Ha/atom; space group = F-43m (216)
1.0
0.0000 3.5120 3.5120
3.5120 0.0000 3.5120
3.5120 3.5120 0.0000
Lu Ag Sb
1 2 1
direct
0.0000 0.0000 0.0000 Lu
0.2500 0.2500 0.2500 Ag
0.5000 0.5000 0.5000 Ag
0.7500 0.7500 0.7500 Sb

=====

# 11
LuAgSb, relaxed, DFT PBE; spin magnetization = 0.0 μB per formula unit; energy = -0.1506 Ha/atom; space group = F-43m (216)
1.0
0.0000 3.4047 3.4047
3.4047 0.0000 3.4047
3.4047 3.4047 0.0000
Lu Ag Sb
1 1 1
direct
0.0000 0.0000 0.0000 Lu
0.5000 0.5000 0.5000 Ag
0.7500 0.7500 0.7500 Sb

=====

# 12
LuSc2Ag, relaxed, DFT PBE; formation enthalpy at 0 K = 0.0372 eV/atom; spin magnetization = 0.0 μB per formula unit; space group = F-43m (216)
1.0
0.0000 3.5785 3.5785
3.5785 0.0000 3.5785
3.5785 3.5785 0.0000
Lu Sc Ag
1 2 1
direct
0.0000 0.0000 0.0000 Lu
0.2500 0.2500 0.2500 Sc
0.5000 0.5000 0.5000 Sc
0.7500 0.7500 0.7500 Ag

=====

# 13
Lu2ScAg, relaxed, DFT PBE; formation enthalpy at 0 K = 0.0632 eV/atom; spin magnetization = 0.0 μB per formula unit; space group = F-43m (216)
1.0
0.0000 3.6341 3.6341
3.6341 0.0000 3.6341
3.6341 3.6341 0.0000
Lu Sc Ag
2 1 1
direct
0.0000 0.0000 0.0000 Lu
0.2500 0.2500 0.2500 Lu
0.7500 0.7500 0.7500 Sc
0.5000 0.5000 0.5000 Ag

=====

# 14
Lu2AgSe3, relaxed, DFT PBE; energy relative to the lowest polymorph listed for this composition = 0.00 eV/f.u.; spin magnetization = 0.0 μB per formula unit; space group = Pnma (62)
1.0
8.3149 0.0000 0.0000
0.0000 3.8712 0.0000
0.0000 0.0000 17.4836
Lu Ag Se
8 4 12
direct
0.1134 0.2500 0.2141 Lu
0.2018 0.2500 0.9643 Lu
0.2982 0.7500 0.4643 Lu
0.3866 0.7500 0.7141 Lu
0.6134 0.2500 0.2859 Lu
0.7018 0.2500 0.5357 Lu
0.7982 0.7500 0.0357 Lu
0.8866 0.7500 0.7859 Lu
0.0498 0.2500 0.5549 Ag
0.4502 0.7500 0.0549 Ag
0.5498 0.2500 0.9451 Ag
0.9502 0.7500 0.4451 Ag
0.0813 0.2500 0.7087 Se
0.1213 0.7500 0.0798 Se
0.2170 0.7500 0.8566 Se
0.2830 0.2500 0.3566 Se
0.3787 0.2500 0.5798 Se
0.4187 0.7500 0.2087 Se
0.5813 0.2500 0.7913 Se
0.6213 0.7500 0.4202 Se
0.7170 0.7500 0.6434 Se
0.7830 0.2500 0.1434 Se
0.8787 0.2500 0.9202 Se
0.9187 0.7500 0.2913 Se

=====

# 15
Lu2AgSe3, relaxed, DFT PBE; energy relative to the lowest polymorph listed for this composition = 0.48 eV/f.u.; spin magnetization = 0.0 μB per formula unit; space group = Pnma (62)
1.0
10.2680 0.0000 0.0000
0.0000 3.8755 0.0000
0.0000 0.0000 13.5194
Lu Ag Se
8 4 12
direct
0.0188 0.2500 0.2466 Lu
0.2236 0.7500 0.5276 Lu
0.2764 0.2500 0.0276 Lu
0.4812 0.7500 0.7466 Lu
0.5188 0.2500 0.2534 Lu
0.7236 0.7500 0.9724 Lu
0.7764 0.2500 0.4724 Lu
0.9812 0.7500 0.7534 Lu
0.2322 0.2500 0.7322 Ag
0.2678 0.7500 0.2322 Ag
0.7322 0.2500 0.7678 Ag
0.7678 0.7500 0.2678 Ag
0.0363 0.2500 0.6022 Se
0.0829 0.7500 0.1000 Se
0.2355 0.7500 0.8696 Se
0.2645 0.2500 0.3696 Se
0.4171 0.2500 0.6000 Se
0.4637 0.7500 0.1022 Se
0.5363 0.2500 0.8978 Se
0.5829 0.7500 0.4000 Se
0.7355 0.7500 0.6304 Se
0.7645 0.2500 0.1304 Se
0.9171 0.2500 0.9000 Se
0.9637 0.7500 0.3978 Se

=====

# 16
LuAgSe2, relaxed, DFT PBE; spin magnetization = 0.0 μB per formula unit; energy = -0.1751 Ha/atom; space group = P2_12_12_1 (19)
1.0
4.1741 0.0000 0.0000
0.0000 6.7962 0.0000
0.0000 0.0000 13.6096
Lu Ag Se
4 4 8
direct
0.2265 0.2107 0.3711 Lu
0.2735 0.7893 0.8711 Lu
0.7265 0.2893 0.6289 Lu
0.7735 0.7107 0.1289 Lu
0.0005 0.2057 0.1224 Ag
0.9995 0.7057 0.3776 Ag
0.5005 0.2943 0.8776 Ag
0.4995 0.7943 0.6224 Ag
0.2256 0.0875 0.7270 Se
0.2308 0.4823 0.5283 Se
0.2692 0.5177 0.0283 Se
0.2744 0.9125 0.2270 Se
0.7256 0.4125 0.2730 Se
0.7308 0.0177 0.4717 Se
0.7692 0.9823 0.9717 Se
0.7744 0.5875 0.7730 Se

=====

# 17
LuAgSnSe3, relaxed, DFT PBE; energy relative to the lowest polymorph listed for this composition = 0.00 eV/f.u.; spin magnetization = 0.0 μB per formula unit; space group = Cmcm (63)
1.0
2.0317 -6.7868 0.0000
2.0317 6.7868 0.0000
0.0000 0.0000 10.5200
Lu Ag Sn Se
2 2 2 6
direct
0.0000 0.0000 0.0000 Lu
0.0000 0.0000 0.5000 Lu
0.4657 0.5343 0.7500 Ag
0.5343 0.4657 0.2500 Ag
0.2404 0.7596 0.2500 Sn
0.7596 0.2404 0.7500 Sn
0.0931 0.9069 0.7500 Se
0.3566 0.6434 0.5473 Se
0.3566 0.6434 0.9527 Se
0.6434 0.3566 0.0473 Se
0.6434 0.3566 0.4527 Se
0.9069 0.0931 0.2500 Se

=====

# 18
LuAgSnSe3, relaxed, DFT PBE; energy relative to the lowest polymorph listed for this composition = 0.17 eV/f.u.; spin magnetization = 0.0 μB per formula unit; space group = Pnma (62)
1.0
12.1781 0.0000 0.0000
0.0000 4.1290 0.0000
0.0000 0.0000 12.0186
Lu Ag Sn Se
4 4 4 12
direct
0.0266 0.2500 0.1738 Lu
0.4734 0.7500 0.6738 Lu
0.5266 0.2500 0.3262 Lu
0.9734 0.7500 0.8262 Lu
0.2381 0.7500 0.3215 Ag
0.2619 0.2500 0.8215 Ag
0.7381 0.7500 0.1785 Ag
0.7619 0.2500 0.6785 Ag
0.1701 0.2500 0.5165 Sn
0.3299 0.7500 0.0165 Sn
0.6701 0.2500 0.9835 Sn
0.8299 0.7500 0.4835 Sn
0.0228 0.7500 0.3460 Se
0.0838 0.2500 0.9336 Se
0.2438 0.7500 0.6698 Se
0.2562 0.2500 0.1698 Se
0.4162 0.7500 0.4336 Se
0.4772 0.2500 0.8460 Se
0.5228 0.7500 0.1540 Se
0.5838 0.2500 0.5664 Se
0.7438 0.7500 0.8302 Se
0.7562 0.2500 0.3302 Se
0.9162 0.7500 0.0664 Se
0.9772 0.2500 0.6540 Se

=====

# 19
SrLuAgSe3, relaxed, DFT PBE; spin magnetization = 0.0 μB per formula unit; energy = -0.1743 Ha/atom; space group = P2_1/m (11)
1.0
7.8842 0.0000 0.0000
0.0000 4.1173 0.0000
-2.7414 0.0000 9.4734
Sr Lu Ag Se
2 2 2 6
direct
0.2460 0.2500 0.2879 Sr
0.7540 0.7500 0.7121 Sr
0.3107 0.7500 0.8420 Lu
0.6893 0.2500 0.1580 Lu
0.0912 0.2500 0.5936 Ag
0.9088 0.7500 0.4064 Ag
0.0678 0.2500 0.8530 Se
0.2901 0.7500 0.5453 Se
0.4341 0.7500 0.1383 Se
0.5659 0.2500 0.8618 Se
0.7099 0.2500 0.4547 Se
0.9322 0.7500 0.1470 Se

=====

# 20
SrLuAgTe2Se, relaxed, DFT PBE; spin magnetization = 0.0 μB per formula unit; energy = -0.1616 Ha/atom; space group = Cmcm (63)
1.0
2.1390 -7.3527 0.0000
2.1390 7.3527 0.0000
0.0000 0.0000 10.7258
Sr Lu Ag Te Se
2 2 2 4 2
direct
0.2394 0.7605 0.7500 Sr
0.7605 0.2394 0.2500 Sr
0.5000 0.5000 0.0000 Lu
0.5000 0.5000 0.5000 Lu
0.0268 0.9732 0.2500 Ag
0.9732 0.0268 0.7500 Ag
0.1448 0.8552 0.0494 Te
0.1448 0.8552 0.4506 Te
0.8552 0.1448 0.5494 Te
0.8552 0.1448 0.9506 Te
0.4193 0.5807 0.2500 Se
0.5807 0.4193 0.7500 Se

=====

# 21
LuTlAgSe3, relaxed, DFT PBE; spin magnetization = 0.0 μB per formula unit; energy = -0.1547 Ha/atom; space group = Cmcm (63)
1.0
1.9947 -7.2241 0.0000
1.9947 7.2241 0.0000
0.0000 0.0000 10.6850
Lu Tl Ag Se
2 2 2 6
direct
0.0000 0.0000 0.0000 Lu
0.0000 0.0000 0.5000 Lu
0.2442 0.7558 0.7500 Tl
0.7558 0.2442 0.2500 Tl
0.4603 0.5397 0.2500 Ag
0.5397 0.4603 0.7500 Ag
0.0780 0.9220 0.2500 Se
0.3656 0.6344 0.0421 Se
0.3656 0.6344 0.4579 Se
0.6344 0.3656 0.5421 Se
0.6344 0.3656 0.9579 Se
0.9220 0.0780 0.7500 Se